Record 1
This record from Alexandria via LeMat-Bulk describes a relaxed Pr2Nd3Si4 crystal. The functional is GGA-PBE.

abc: 7.893 7.953 7.831
angles: 90.00 105.03 90.00
Sites, in units of the cell vectors:
1 Pr 0.206 0.185 0.100
2 Pr 0.206 0.315 0.600
3 Pr 0.794 0.685 0.400
4 Pr 0.794 0.815 0.900
5 Nd 0.240 0.683 0.255
6 Nd 0.240 0.817 0.755
7 Nd 0.500 0.000 0.500
8 Nd 0.500 0.500 0.000
9 Nd 0.760 0.183 0.245
10 Nd 0.760 0.317 0.745
11 Si 0.083 0.525 0.891
12 Si 0.083 0.975 0.391
13 Si 0.494 0.114 0.884
14 Si 0.494 0.386 0.384
15 Si 0.506 0.614 0.616
16 Si 0.506 0.886 0.116
17 Si 0.917 0.025 0.609
18 Si 0.917 0.475 0.109

Summary:
Its space-group type is P2_1/c, No. 14. The calculation puts the total energy at -5.741 eV per atom. The formation energy from raw total energies is -0.679 eV per atom.

Record 2
This record from Alexandria via LeMat-Bulk describes a relaxed AlTc2Pd crystal. The functional is GGA-PBE.

abc: 5.621 5.621 5.621
angles: 101.70 101.70 126.48
Sites, in units of the cell vectors:
1 Al 0.000 0.000 0.000
2 Al 0.750 0.250 0.500
3 Tc 0.110 0.625 0.985
4 Tc 0.375 0.360 0.485
5 Tc 0.640 0.125 0.015
6 Tc 0.875 0.890 0.515
7 Pd 0.250 0.750 0.500
8 Pd 0.500 0.500 0.000

Summary:
Its space-group type is I-42d, No. 122. The formation energy is 465.4 meV/atom. The calculation puts the total energy at -6.951 eV per atom.

Record 3
This record from Alexandria via LeMat-Bulk describes a relaxed K4RbP2 crystal. The functional is GGA-PBE.

abc: 11.424 11.424 11.424
angles: 29.02 29.02 29.02
Sites, in units of the cell vectors:
1 K 0.080 0.080 0.080
2 K 0.300 0.300 0.300
3 K 0.700 0.700 0.700
4 K 0.920 0.920 0.920
5 Rb 0.500 0.500 0.500
6 P 0.400 0.400 0.400
7 P 0.600 0.600 0.600

Summary:
Its space-group type is R-3m, No. 166. The formation energy is -126.4 meV/atom. The calculation puts the total energy at -2.437 eV per atom.

Record 4
This record from Alexandria via LeMat-Bulk describes a relaxed CeScHg2 crystal. The functional is GGA-PBE.

abc: 5.226 5.226 5.226
angles: 60.00 60.00 60.00
Sites, in units of the cell vectors:
1 Ce 0.000 0.000 0.000
2 Sc 0.500 0.500 0.500
3 Hg 0.250 0.250 0.250
4 Hg 0.750 0.750 0.750

Summary:
The value obtained for the energy above the most stable polymorph in this dataset is 37 meV/atom. Its space-group type is Fm-3m, No. 225. The formation energy is -327.5 meV/atom. The calculation puts the total energy at -3.545 eV per atom.

Record 5
This record from Alexandria via LeMat-Bulk describes a relaxed CeDy2Co2 crystal. The functional is GGA-PBE.

abc: 5.947 5.947 5.947
angles: 144.11 118.90 72.93
Sites, in units of the cell vectors:
1 Ce 0.000 0.000 0.000
2 Dy 0.309 0.809 0.500
3 Dy 0.691 0.191 0.500
4 Co 0.294 0.500 0.794
5 Co 0.706 0.500 0.206

Summary:
The value obtained for the energy above the most stable polymorph in this dataset is 0 meV/atom. Its space-group type is Immm, No. 71. The formation energy is -241.1 meV/atom. The calculation puts the total energy at -6.111 eV per atom.

Record 6
This record from Alexandria via LeMat-Bulk describes a relaxed CuSCl2 crystal. The functional is GGA-PBE.

abc: 7.173 6.048 11.346
angles: 90.00 112.11 90.00
Sites, in units of the cell vectors:
1 Cu 0.002 0.117 0.380
2 Cu 0.002 0.883 0.880
3 Cu 0.998 0.117 0.120
4 Cu 0.998 0.883 0.620
5 S 0.405 0.363 0.788
6 S 0.405 0.637 0.288
7 S 0.595 0.363 0.712
8 S 0.595 0.637 0.212
9 Cl 0.113 0.221 0.967
10 Cl 0.113 0.779 0.467
11 Cl 0.253 0.216 0.310
12 Cl 0.253 0.784 0.810
13 Cl 0.747 0.216 0.190
14 Cl 0.747 0.784 0.690
15 Cl 0.887 0.221 0.533
16 Cl 0.887 0.779 0.033

Summary:
The value obtained for the energy above the most stable polymorph in this dataset is 0 meV/atom. Its space-group type is P2/c, No. 13. The calculation puts the total energy at -3.219 eV per atom. The formation energy from raw total energies is -0.240 eV per atom.

Record 7
This record from Alexandria via LeMat-Bulk describes a relaxed Ti2CrCl2 crystal. The functional is GGA-PBE.

abc: 7.391 7.391 2.990
angles: 90.00 90.00 90.00
Sites, in units of the cell vectors:
1 Ti 0.163 0.337 0.000
2 Ti 0.337 0.837 0.000
3 Ti 0.663 0.163 0.000
4 Ti 0.837 0.663 0.000
5 Cr 0.000 0.000 0.000
6 Cr 0.500 0.500 0.000
7 Cl 0.136 0.636 0.500
8 Cl 0.364 0.136 0.500
9 Cl 0.636 0.864 0.500
10 Cl 0.864 0.364 0.500

Summary:
The value obtained for the energy above the most stable polymorph in this dataset is 0 meV/atom. Its space-group type is P4/mbm, No. 127. The calculation puts the total energy at -5.648 eV per atom. The formation energy from raw total energies is 0.174 eV per atom.

Record 8
This record from Alexandria via LeMat-Bulk describes a relaxed Tb6PmTm2Th crystal. The functional is GGA-PBE.

abc: 8.760 8.760 9.518
angles: 93.51 93.51 116.55
Sites, in units of the cell vectors:
1 Tb 0.018 0.568 0.184
2 Tb 0.118 0.754 0.559
3 Tb 0.246 0.882 0.941
4 Tb 0.296 0.512 0.383
5 Tb 0.432 0.982 0.316
6 Tb 0.488 0.704 0.117
7 Tb 0.512 0.296 0.883
8 Tb 0.568 0.018 0.684
9 Tb 0.704 0.488 0.617
10 Tb 0.754 0.118 0.059
11 Tb 0.882 0.246 0.441
12 Tb 0.982 0.432 0.816
13 Pm 0.029 0.971 0.250
14 Pm 0.971 0.029 0.750
15 Tm 0.197 0.299 0.049
16 Tm 0.299 0.197 0.549
17 Tm 0.701 0.803 0.451
18 Tm 0.803 0.701 0.951
19 Th 0.407 0.593 0.750
20 Th 0.593 0.407 0.250

Summary:
Its space-group type is C2/c, No. 15. The formation energy is 142.2 meV/atom. The calculation puts the total energy at -4.747 eV per atom.

Repeat the second record exactly.
This record from Alexandria via LeMat-Bulk describes a relaxed AlTc2Pd crystal. The functional is GGA-PBE.

abc: 5.621 5.621 5.621
angles: 101.70 101.70 126.48
Sites, in units of the cell vectors:
1 Al 0.000 0.000 0.000
2 Al 0.750 0.250 0.500
3 Tc 0.110 0.625 0.985
4 Tc 0.375 0.360 0.485
5 Tc 0.640 0.125 0.015
6 Tc 0.875 0.890 0.515
7 Pd 0.250 0.750 0.500
8 Pd 0.500 0.500 0.000

Summary:
Its space-group type is I-42d, No. 122. The formation energy is 465.4 meV/atom. The calculation puts the total energy at -6.951 eV per atom.